## P
{"formula": "LiCr2GaSe", "functional": "PBE", "state": "optimized geometry", "lattice": [[-0.561, 0.389, 4.765], [2.592, -3.420, 0.584], [3.815, 2.928, 0.210]], "species": ["Cr", "Cr", "Ga", "Se", "Li"], "fractional_positions": [[0.000, 0.000, 0.500], [0.500, 0.000, 0.000], [0.500, 0.500, 0.500], [0.000, 0.500, 0.000], [0.000, 0.000, 0.000]], "spacegroup": "P4/mmm (123)", "total_magnetization_mub_per_cell": 9.4, "n_ef_per_ev_cell": 2.21}


## Q
{"formula": "LiCr2GaSe", "functional": "PBE", "state": "optimized geometry", "lattice": [[-4.396, 1.617, -0.643], [-1.261, -4.061, -1.592], [-1.142, -1.363, 4.381]], "species": ["Cr", "Cr", "Ga", "Se", "Li"], "fractional_positions": [[0.000, 0.000, 0.500], [0.500, 0.000, 0.000], [0.000, 0.000, 0.000], [0.500, 0.500, 0.500], [0.000, 0.500, 0.000]], "spacegroup": "P4/mmm (123)", "total_magnetization_mub_per_cell": 7.0, "n_ef_per_ev_cell": 4.18}


Tell me which of them is the least stable. Sure, it is P.